(1)
# LaAlO3

Crystalline LaAlO3 at its relaxed geometry (GGA-PBEsol, Alexandria).

```
LaAlO3
1.0
-2.7686 0.5928 -2.4906
-0.0191 -3.6730 -0.8531
-2.5601 -0.6137 2.6997
Al La O
1 1 3
Direct
0.0000 0.0000 0.0000
0.5000 0.5000 0.5000
0.0000 0.5000 0.0000
0.5000 0.0000 0.0000
0.0000 0.0000 0.5000
```

Summary:
Magnetization, μB per formula unit: 0.00
VASP energy, eV/atom: -8.418
Raw formation energy, eV/atom: -3.381
Density of states at the Fermi level, states/eV/atom: 0.00
Space group: Pm-3m, No. 221

=====

(2)
# Li2CdOs

Crystalline Li2CdOs at its relaxed geometry (GGA-PBEsol, Alexandria).

```
Li2CdOs
1.0
-4.2471 0.1115 3.1916
-3.1646 -4.4669 0.3685
0.5671 -1.5505 5.2324
Cd Os Li
2 2 4
Direct
0.2500 0.5000 0.5000
0.5000 0.0000 0.0000
0.7500 0.5000 0.5000
0.0000 0.0000 0.0000
0.3750 0.9967 0.5033
0.6283 0.4967 0.9967
0.8750 0.0033 0.4967
0.1217 0.5033 0.0033
```

Summary:
Magnetization, μB per formula unit: 0.93
VASP energy, eV/atom: -3.584
Density of states at the Fermi level, states/eV/atom: 0.72
E_form, eV per atom: 0.752
Space group: I-42d, No. 122

=====

(3)
# Ca2HfMn

Crystalline Ca2HfMn at its relaxed geometry (GGA-PBEsol, Alexandria).

```
Ca2HfMn
1.0
-1.5723 5.0122 0.0774
-1.6199 2.3136 -4.4298
-5.0808 1.1695 -0.6465
Hf Ca Mn
1 2 1
Direct
0.5000 0.5000 0.5000
0.7500 0.7500 0.7500
0.2500 0.2500 0.2500
0.0000 0.0000 0.0000
```

Summary:
Magnetization, μB per formula unit: 3.26
VASP energy, eV/atom: -5.280
Density of states at the Fermi level, states/eV/atom: 1.43
E_form, eV per atom: 0.853
Space group: Fm-3m, No. 225

=====

Please write out number 2 again, unchanged.
# Li2CdOs

Crystalline Li2CdOs at its relaxed geometry (GGA-PBEsol, Alexandria).

```
Li2CdOs
1.0
-4.2471 0.1115 3.1916
-3.1646 -4.4669 0.3685
0.5671 -1.5505 5.2324
Cd Os Li
2 2 4
Direct
0.2500 0.5000 0.5000
0.5000 0.0000 0.0000
0.7500 0.5000 0.5000
0.0000 0.0000 0.0000
0.3750 0.9967 0.5033
0.6283 0.4967 0.9967
0.8750 0.0033 0.4967
0.1217 0.5033 0.0033
```

Summary:
Magnetization, μB per formula unit: 0.93
VASP energy, eV/atom: -3.584
Density of states at the Fermi level, states/eV/atom: 0.72
E_form, eV per atom: 0.752
Space group: I-42d, No. 122

=====

- The lowest density of states at the Fermi level belongs to which entry?
  LaAlO3

=====

Repeat the first record exactly.
# LaAlO3

Crystalline LaAlO3 at its relaxed geometry (GGA-PBEsol, Alexandria).

```
LaAlO3
1.0
-2.7686 0.5928 -2.4906
-0.0191 -3.6730 -0.8531
-2.5601 -0.6137 2.6997
Al La O
1 1 3
Direct
0.0000 0.0000 0.0000
0.5000 0.5000 0.5000
0.0000 0.5000 0.0000
0.5000 0.0000 0.0000
0.0000 0.0000 0.5000
```

Summary:
Magnetization, μB per formula unit: 0.00
VASP energy, eV/atom: -8.418
Raw formation energy, eV/atom: -3.381
Density of states at the Fermi level, states/eV/atom: 0.00
Space group: Pm-3m, No. 221